A plane-wave DFT calculation with GGA-PBE was carried out for a relaxed structure of Pr4Pb2C.

Computed properties:
Fermi-level density of states = 0.260 states/eV per atom
DFT formation energy = -0.409 eV per atom
final energy = -0.20276 Ha/atom

```
data_Pr4Pb2C
_cell_length_a 5.0780
_cell_length_b 5.0780
_cell_length_c 16.8520
_cell_angle_alpha 90.00
_cell_angle_beta 90.00
_cell_angle_gamma 90.00
_symmetry_space_group_name_H-M 'I 4/m m m'
_symmetry_Int_Tables_number 139
_symmetry_space_group_name_Hall '-I 4 2'
loop_
_atom_site_label
_atom_site_type_symbol
_atom_site_fract_x
_atom_site_fract_y
_atom_site_fract_z
_atom_site_occupancy
Pr1 Pr 0.0000 0.0000 0.1611 1
Pr2 Pr 0.0000 0.5000 0.0000 1
Pb1 Pb 0.0000 0.0000 0.3597 1
C1 C 0.0000 0.0000 0.0000 1
```